The following is a GGA-PBE calculation of MgSiPCl2 after structural relaxation, from the Alexandria database.

a b c (Å): 4.594 4.594 5.561
angles (deg): 90.00 90.00 90.00
Space group P4/mmm (No. 123)
One atom of each set of equivalent atoms:
Mg (0.000, 0.000, 0.000) x1
Si (0.500, 0.500, 0.500) x1
P (0.000, 0.000, 0.500) x1
Cl (0.000, 0.500, 0.000) x2

For the raw formation energy, the calculation gives 0.010 eV/atom. As for the theoretical density: 2.2 g/cm³. As for the polymorph energy (0 for the lowest one): 136 meV/atom. For the magnetic moment, the calculation gives 0.000 μB per atom. The crystal system is tetragonal.